# 1
First-principles (PBE) data for a geometry-optimized Na2NdSm3Se6 structure, as listed in Alexandria via LeMat-Bulk.

Calculated values
M_tot   0.00 μB per cell
Crystal system   monoclinic

a = 7.265 Å, b = 12.573 Å, c = 7.330 Å
α = 90.00°, β = 109.25°, γ = 90.00°
Space group C2/m (No. 12)
Inequivalent atoms, fractional coordinates:
Na (0.000, 0.166, 0.000) [4 per cell]
Nd (0.000, 0.500, 0.000) [2 per cell]
Sm (0.000, 0.000, 0.500) [2 per cell]
Sm (0.000, 0.332, 0.500) [4 per cell]
Se (0.247, 0.500, 0.744) [4 per cell]
Se (0.249, 0.167, 0.747) [8 per cell]


# 2
First-principles (PBE) data for a geometry-optimized Na3Nd4SmSe8 structure, as listed in Alexandria via LeMat-Bulk.

Calculated values
M_tot   0.00 μB per cell
Crystal system   trigonal

a = 8.4684 Å, b = 8.4684 Å, c = 20.7782 Å
α = 90.00°, β = 90.00°, γ = 120.00°
Space group R-3m (No. 166, hexagonal axes)
Inequivalent atoms, fractional coordinates:
Na (0.0000, 0.5000, 0.0000) [9 per cell]
Nd (0.0000, 0.0000, 0.5000) [3 per cell]
Nd (0.0000, 0.5000, 0.5000) [9 per cell]
Sm (0.0000, 0.0000, 0.0000) [3 per cell]
Se (0.0000, 0.0000, 0.2472) [6 per cell]
Se (0.0024, 0.5012, 0.7496) [18 per cell]


# 3
First-principles (PBE) data for a geometry-optimized NaNdSn2Se4 structure, as listed in Alexandria via LeMat-Bulk.

Calculated values
M_tot   0.00 μB per cell
Crystal system   monoclinic

a = 7.327 Å, b = 4.277 Å, c = 7.503 Å
α = 90.00°, β = 108.64°, γ = 90.00°
Space group P2/m (No. 10)
Inequivalent atoms, fractional coordinates:
Na (0.000, 0.000, 0.000) [1 per cell]
Nd (0.500, 0.500, 0.000) [1 per cell]
Sn (0.000, 0.500, 0.500) [1 per cell]
Sn (0.500, 0.000, 0.500) [1 per cell]
Se (0.257, 0.000, 0.757) [2 per cell]
Se (0.257, 0.500, 0.248) [2 per cell]


# 4
First-principles (PBE) data for a geometry-optimized NaNd2Sn3Se6 structure, as listed in Alexandria via LeMat-Bulk.

Calculated values
M_tot   0.00 μB per cell
Crystal system   monoclinic

a = 18.745 Å, b = 4.382 Å, c = 8.520 Å
α = 90.00°, β = 104.24°, γ = 90.00°
Space group C2/m (No. 12)
Inequivalent atoms, fractional coordinates:
Na (0.000, 0.000, 0.000) [2 per cell]
Nd (0.165, 0.500, 0.329) [4 per cell]
Sn (0.000, 0.000, 0.500) [2 per cell]
Sn (0.159, 0.500, 0.855) [4 per cell]
Se (0.005, 0.500, 0.254) [4 per cell]
Se (0.168, 0.000, 0.574) [4 per cell]
Se (0.171, 0.000, 0.087) [4 per cell]


# 5
First-principles (PBE) data for a geometry-optimized NaSr2NdSe4 structure, as listed in Alexandria via LeMat-Bulk.

Calculated values
M_tot   0.00 μB per cell
Crystal system   monoclinic

a = 7.512 Å, b = 4.378 Å, c = 7.538 Å
α = 90.00°, β = 108.77°, γ = 90.00°
Space group P2/m (No. 10)
Inequivalent atoms, fractional coordinates:
Na (0.000, 0.000, 0.000) [1 per cell]
Sr (0.500, 0.000, 0.500) [1 per cell]
Sr (0.500, 0.500, 0.000) [1 per cell]
Nd (0.000, 0.500, 0.500) [1 per cell]
Se (0.236, 0.000, 0.741) [2 per cell]
Se (0.243, 0.500, 0.257) [2 per cell]


# 6
First-principles (PBE) data for a geometry-optimized NaTb3Nd2Se6 structure, as listed in Alexandria via LeMat-Bulk.

Calculated values
M_tot   0.00 μB per cell
Crystal system   monoclinic

a = 18.206 Å, b = 4.136 Å, c = 8.379 Å
α = 90.00°, β = 103.71°, γ = 90.00°
Space group C2/m (No. 12)
Inequivalent atoms, fractional coordinates:
Na (0.000, 0.000, 0.000) [2 per cell]
Tb (0.000, 0.000, 0.500) [2 per cell]
Tb (0.166, 0.500, 0.828) [4 per cell]
Nd (0.170, 0.500, 0.343) [4 per cell]
Se (0.001, 0.500, 0.746) [4 per cell]
Se (0.162, 0.000, 0.591) [4 per cell]
Se (0.168, 0.000, 0.076) [4 per cell]


# 7
First-principles (PBE) data for a geometry-optimized Na3TbNd2Se6 structure, as listed in Alexandria via LeMat-Bulk.

Calculated values
M_tot   0.00 μB per cell
Crystal system   monoclinic

a = 7.352 Å, b = 12.734 Å, c = 7.433 Å
α = 90.00°, β = 109.27°, γ = 90.00°
Space group C2/m (No. 12)
Inequivalent atoms, fractional coordinates:
Na (0.000, 0.000, 0.000) [2 per cell]
Na (0.000, 0.333, 0.000) [4 per cell]
Tb (0.000, 0.500, 0.500) [2 per cell]
Nd (0.000, 0.167, 0.500) [4 per cell]
Se (0.241, 0.337, 0.734) [8 per cell]
Se (0.248, 0.500, 0.266) [4 per cell]


# 8
First-principles (PBE) data for a geometry-optimized NaTbNd2Se4 structure, as listed in Alexandria via LeMat-Bulk.

Calculated values
M_tot   0.00 μB per cell
Crystal system   monoclinic

a = 7.265 Å, b = 4.173 Å, c = 7.269 Å
α = 90.00°, β = 109.11°, γ = 90.00°
Space group P2/m (No. 10)
Inequivalent atoms, fractional coordinates:
Na (0.000, 0.000, 0.000) [1 per cell]
Tb (0.500, 0.500, 0.000) [1 per cell]
Nd (0.000, 0.500, 0.500) [1 per cell]
Nd (0.500, 0.000, 0.500) [1 per cell]
Se (0.252, 0.500, 0.244) [2 per cell]
Se (0.255, 0.000, 0.761) [2 per cell]


# 9
First-principles (PBE) data for a geometry-optimized NaTb2NdSe4 structure, as listed in Alexandria via LeMat-Bulk.

Calculated values
M_tot   0.00 μB per cell
Crystal system   monoclinic

a = 7.215 Å, b = 4.125 Å, c = 7.244 Å
α = 90.00°, β = 108.95°, γ = 90.00°
Space group P2/m (No. 10)
Inequivalent atoms, fractional coordinates:
Na (0.000, 0.000, 0.000) [1 per cell]
Tb (0.000, 0.500, 0.500) [1 per cell]
Tb (0.500, 0.000, 0.500) [1 per cell]
Nd (0.500, 0.500, 0.000) [1 per cell]
Se (0.243, 0.000, 0.742) [2 per cell]
Se (0.252, 0.500, 0.260) [2 per cell]


# 10
First-principles (PBE) data for a geometry-optimized Na2TbNd3Se6 structure, as listed in Alexandria via LeMat-Bulk.

Calculated values
M_tot   0.00 μB per cell
Crystal system   monoclinic

a = 7.289 Å, b = 12.615 Å, c = 7.299 Å
α = 90.00°, β = 109.34°, γ = 90.00°
Space group C2/m (No. 12)
Inequivalent atoms, fractional coordinates:
Na (0.000, 0.166, 0.000) [4 per cell]
Tb (0.000, 0.500, 0.000) [2 per cell]
Nd (0.000, 0.000, 0.500) [2 per cell]
Nd (0.000, 0.330, 0.500) [4 per cell]
Se (0.243, 0.500, 0.751) [4 per cell]
Se (0.245, 0.336, 0.244) [8 per cell]


# 11
First-principles (PBE) data for a geometry-optimized NaNdTeSe structure, as listed in Alexandria via LeMat-Bulk.

Calculated values
M_tot   0.00 μB per cell
Crystal system   trigonal

a = 4.4123 Å, b = 4.4123 Å, c = 21.9348 Å
α = 90.00°, β = 90.00°, γ = 120.00°
Space group R3m (No. 160, hexagonal axes)
Inequivalent atoms, fractional coordinates:
Na (0.0000, 0.0000, 0.0000) [3 per cell]
Nd (0.0000, 0.0000, 0.5109) [3 per cell]
Te (0.0000, 0.0000, 0.7575) [3 per cell]
Se (0.0000, 0.0000, 0.2489) [3 per cell]


# 12
First-principles (PBE) data for a geometry-optimized Na2NdTeSe4 structure, as listed in Alexandria via LeMat-Bulk.

Calculated values
M_tot   0.00 μB per cell
Crystal system   monoclinic

a = 11.964 Å, b = 11.859 Å, c = 8.475 Å
α = 90.00°, β = 131.62°, γ = 90.00°
Space group C2/c (No. 15)
Inequivalent atoms, fractional coordinates:
Na (0.000, 0.000, 0.000) [4 per cell]
Na (0.250, 0.250, 0.000) [4 per cell]
Nd (0.000, 0.500, 0.000) [4 per cell]
Te (0.250, 0.250, 0.500) [4 per cell]
Se (0.031, 0.251, 0.525) [8 per cell]
Se (0.236, 0.489, 0.475) [8 per cell]


# 13
First-principles (PBE) data for a geometry-optimized Na3Nd2TeSe6 structure, as listed in Alexandria via LeMat-Bulk.

Calculated values
M_tot   1.92 μB per cell
Crystal system   monoclinic

a = 7.366 Å, b = 12.931 Å, c = 7.410 Å
α = 90.00°, β = 108.90°, γ = 90.00°
Space group C2/m (No. 12)
Inequivalent atoms, fractional coordinates:
Na (0.000, 0.000, 0.000) [2 per cell]
Na (0.000, 0.339, 0.000) [4 per cell]
Nd (0.000, 0.170, 0.500) [4 per cell]
Te (0.000, 0.500, 0.500) [2 per cell]
Se (0.246, 0.500, 0.276) [4 per cell]
Se (0.249, 0.168, 0.256) [8 per cell]


# 14
First-principles (PBE) data for a geometry-optimized Na3Nd2ThSe6 structure, as listed in Alexandria via LeMat-Bulk.

Calculated values
M_tot   0.00 μB per cell
Crystal system   monoclinic

a = 18.683 Å, b = 4.244 Å, c = 8.605 Å
α = 90.00°, β = 104.28°, γ = 90.00°
Space group C2/m (No. 12)
Inequivalent atoms, fractional coordinates:
Na (0.000, 0.000, 0.000) [2 per cell]
Na (0.169, 0.500, 0.333) [4 per cell]
Nd (0.169, 0.500, 0.838) [4 per cell]
Th (0.000, 0.000, 0.500) [2 per cell]
Se (0.001, 0.500, 0.741) [4 per cell]
Se (0.162, 0.000, 0.587) [4 per cell]
Se (0.168, 0.000, 0.079) [4 per cell]


# 15
First-principles (PBE) data for a geometry-optimized NaNd2Th3Se6 structure, as listed in Alexandria via LeMat-Bulk.

Calculated values
M_tot   0.00 μB per cell
Crystal system   monoclinic

a = 18.457 Å, b = 4.183 Å, c = 8.497 Å
α = 90.00°, β = 104.71°, γ = 90.00°
Space group C2/m (No. 12)
Inequivalent atoms, fractional coordinates:
Na (0.000, 0.000, 0.000) [2 per cell]
Nd (0.170, 0.500, 0.334) [4 per cell]
Th (0.000, 0.000, 0.500) [2 per cell]
Th (0.169, 0.500, 0.832) [4 per cell]
Se (0.001, 0.500, 0.753) [4 per cell]
Se (0.162, 0.000, 0.077) [4 per cell]
Se (0.165, 0.000, 0.579) [4 per cell]


# 16
First-principles (PBE) data for a geometry-optimized NaNd2ThSe4 structure, as listed in Alexandria via LeMat-Bulk.

Calculated values
M_tot   0.00 μB per cell
Crystal system   monoclinic

a = 7.290 Å, b = 4.199 Å, c = 7.336 Å
α = 90.00°, β = 108.97°, γ = 90.00°
Space group P2/m (No. 10)
Inequivalent atoms, fractional coordinates:
Na (0.000, 0.000, 0.000) [1 per cell]
Nd (0.500, 0.000, 0.500) [1 per cell]
Nd (0.500, 0.500, 0.000) [1 per cell]
Th (0.000, 0.500, 0.500) [1 per cell]
Se (0.244, 0.000, 0.753) [2 per cell]
Se (0.246, 0.500, 0.249) [2 per cell]


# 17
First-principles (PBE) data for a geometry-optimized Na4NdTh3Se8 structure, as listed in Alexandria via LeMat-Bulk.

Calculated values
M_tot   0.00 μB per cell
Crystal system   trigonal

a = 8.3735 Å, b = 8.3735 Å, c = 21.5395 Å
α = 90.00°, β = 90.00°, γ = 120.00°
Space group R-3m (No. 166, hexagonal axes)
Inequivalent atoms, fractional coordinates:
Na (0.0000, 0.0000, 0.0000) [3 per cell]
Na (0.0000, 0.5000, 0.0000) [9 per cell]
Nd (0.0000, 0.0000, 0.5000) [3 per cell]
Th (0.0000, 0.5000, 0.5000) [9 per cell]
Se (0.0000, 0.0000, 0.2480) [6 per cell]
Se (0.0034, 0.5017, 0.7525) [18 per cell]


# 18
First-principles (PBE) data for a geometry-optimized Na3NdTh2Se6 structure, as listed in Alexandria via LeMat-Bulk.

Calculated values
M_tot   0.00 μB per cell
Crystal system   monoclinic

a = 7.274 Å, b = 12.597 Å, c = 7.556 Å
α = 90.00°, β = 108.72°, γ = 90.00°
Space group C2/m (No. 12)
Inequivalent atoms, fractional coordinates:
Na (0.000, 0.000, 0.000) [2 per cell]
Na (0.000, 0.335, 0.000) [4 per cell]
Nd (0.000, 0.500, 0.500) [2 per cell]
Th (0.000, 0.167, 0.500) [4 per cell]
Se (0.242, 0.000, 0.743) [4 per cell]
Se (0.250, 0.169, 0.258) [8 per cell]


# 19
First-principles (PBE) data for a geometry-optimized NaNd4Th3Se8 structure, as listed in Alexandria via LeMat-Bulk.

Calculated values
M_tot   0.00 μB per cell
Crystal system   trigonal

a = 8.4327 Å, b = 8.4327 Å, c = 20.6293 Å
α = 90.00°, β = 90.00°, γ = 120.00°
Space group R-3m (No. 166, hexagonal axes)
Inequivalent atoms, fractional coordinates:
Na (0.0000, 0.0000, 0.0000) [3 per cell]
Nd (0.0000, 0.0000, 0.5000) [3 per cell]
Nd (0.0000, 0.5000, 0.5000) [9 per cell]
Th (0.0000, 0.5000, 0.0000) [9 per cell]
Se (0.0000, 0.0000, 0.2498) [6 per cell]
Se (0.0045, 0.5022, 0.7483) [18 per cell]


# 20
First-principles (PBE) data for a geometry-optimized Na2Nd3TmSe6 structure, as listed in Alexandria via LeMat-Bulk.

Calculated values
M_tot   0.00 μB per cell
Crystal system   monoclinic

a = 7.262 Å, b = 12.564 Å, c = 7.267 Å
α = 90.00°, β = 109.34°, γ = 90.00°
Space group C2/m (No. 12)
Inequivalent atoms, fractional coordinates:
Na (0.000, 0.165, 0.000) [4 per cell]
Nd (0.000, 0.000, 0.500) [2 per cell]
Nd (0.000, 0.329, 0.500) [4 per cell]
Tm (0.000, 0.500, 0.000) [2 per cell]
Se (0.241, 0.500, 0.753) [4 per cell]
Se (0.242, 0.338, 0.240) [8 per cell]


The calculation returns the following total DFT energy (no corrections) values, one per record and in order: -5.2772, -5.1988, -4.5109, -4.6621, -4.7680, -5.5877, -4.9430, -5.4334, -5.4182, -5.2707, -4.6747, -4.0682, -4.3112, -5.1013, -6.1196, -5.7043, -5.2901, -5.2542, -6.0873, -5.2429 eV/atom.